Here is a geometry-optimized LiVF4 structure from Alexandria via LeMat-Bulk. Energies are from PBE+U.

Calculated values
The space group is C2/c. The excess energy over the best structure of this formula in the dataset is 0 meV/atom. The total energy comes out at -68.7 eV per cell.

```
data_LiVF4
_cell_length_a 6.495
_cell_length_b 6.495
_cell_length_c 5.540
_cell_angle_alpha 90.66
_cell_angle_beta 90.66
_cell_angle_gamma 46.90
_symmetry_space_group_name_H-M 'P 1'
_symmetry_Int_Tables_number 1
loop_
_symmetry_equiv_pos_as_xyz
'x,y,z'
loop_
_atom_site_label
_atom_site_fract_x
_atom_site_fract_y
_atom_site_fract_z
_atom_site_occupancy
Li1 0.017 0.983 0.750 1
Li2 0.983 0.017 0.250 1
V1 0.000 0.500 0.500 1
V2 0.500 0.000 0.000 1
F1 0.770 0.042 0.989 1
F2 0.042 0.770 0.489 1
F3 0.658 0.765 0.694 1
F4 0.235 0.342 0.806 1
F5 0.765 0.658 0.194 1
F6 0.342 0.235 0.306 1
F7 0.958 0.230 0.511 1
F8 0.230 0.958 0.011 1
```